[1]
VASP calculation (PBE-GGA) on a relaxed structure of Ac8Ir2Pb.

Cell lengths 7.547, 7.547, 7.698 Å; angles 90.00, 90.00, 90.00 degrees
Fractional coordinates of all 11 atoms:
Ac 0.246 0.246 0.231
Ac 0.246 0.246 0.769
Ac 0.246 0.754 0.231
Ac 0.246 0.754 0.769
Ac 0.754 0.246 0.231
Ac 0.754 0.246 0.769
Ac 0.754 0.754 0.231
Ac 0.754 0.754 0.769
Ir 0.000 0.500 0.000
Ir 0.500 0.000 0.000
Pb 0.500 0.500 0.500

Properties
* formation energy: -1.78 eV/f.u.
* magnetic moment: 0.0 μB per cell
* crystal system: tetragonal

[2]
VASP calculation (PBE-GGA) on a relaxed structure of AgC8.

Cell lengths 8.651, 8.651, 8.674 Å; angles 91.12, 91.12, 162.94 degrees
Fractional coordinates of all 9 atoms:
Ag 0.000 0.000 0.000
C 0.185 0.730 0.584
C 0.250 0.250 0.500
C 0.250 0.750 0.000
C 0.270 0.815 0.416
C 0.730 0.185 0.584
C 0.750 0.250 0.000
C 0.750 0.750 0.500
C 0.815 0.270 0.416

Properties
* formation energy: 13.32 eV/f.u.
* magnetic moment: 0.0 μB per cell
* crystal system: monoclinic

[3]
VASP calculation (PBE-GGA) on a relaxed structure of Pr6Nd2Ho5.

Cell lengths 11.892, 20.680, 3.667 Å; angles 90.00, 90.00, 90.00 degrees
Fractional coordinates of all 26 atoms:
Pr 0.058 0.078 0.000
Pr 0.081 0.366 0.000
Pr 0.177 0.628 0.500
Pr 0.323 0.128 0.500
Pr 0.419 0.866 0.000
Pr 0.442 0.578 0.000
Pr 0.558 0.422 0.000
Pr 0.581 0.134 0.000
Pr 0.677 0.872 0.500
Pr 0.823 0.372 0.500
Pr 0.919 0.634 0.000
Pr 0.942 0.922 0.000
Nd 0.166 0.785 0.000
Nd 0.334 0.285 0.000
Nd 0.666 0.715 0.000
Nd 0.834 0.215 0.000
Ho 0.000 0.500 0.500
Ho 0.094 0.223 0.500
Ho 0.200 0.944 0.500
Ho 0.300 0.444 0.500
Ho 0.406 0.723 0.500
Ho 0.500 0.000 0.500
Ho 0.594 0.277 0.500
Ho 0.700 0.556 0.500
Ho 0.800 0.056 0.500
Ho 0.906 0.777 0.500

Properties
* formation energy: 1.33 eV/f.u.
* magnetic moment: 0.0 μB per cell
* crystal system: orthorhombic